(1)
A relaxed structure of Ac2NiH6Pt, computed with PBE.

Cell lengths 5.419, 5.419, 5.678 Å; angles 120.61, 120.61, 85.99 degrees
Sites, in units of the cell vectors:
Ac: 0.250 0.750 0.000
Ac: 0.750 0.250 0.000
Ni: 0.000 0.000 0.500
H: 0.201 0.201 0.902
H: 0.208 0.208 0.500
H: 0.261 0.738 0.499
H: 0.738 0.261 0.499
H: 0.793 0.793 0.501
H: 0.799 0.799 0.098
Pt: 0.498 0.498 0.498

Results
E   -4.471 eV/atom
SG   Cm, No. 8

(2)
A relaxed structure of Te5Rh3, computed with PBE.

Cell lengths 6.059, 7.559, 9.601 Å; angles 73.17, 79.39, 75.41 degrees
Sites, in units of the cell vectors:
Te: 0.134 0.147 0.225
Te: 0.142 0.399 0.827
Te: 0.299 0.070 0.588
Te: 0.305 0.607 0.413
Te: 0.358 0.814 0.986
Te: 0.642 0.186 0.014
Te: 0.695 0.393 0.587
Te: 0.701 0.930 0.412
Te: 0.858 0.601 0.173
Te: 0.866 0.853 0.775
Rh: 0.072 0.365 0.405
Rh: 0.277 0.452 0.057
Rh: 0.496 0.872 0.220
Rh: 0.504 0.128 0.780
Rh: 0.723 0.548 0.943
Rh: 0.928 0.635 0.595

Results
E   -4.980 eV/atom
SG   P-1, No. 2
E above lowest polymorph   0.0 kJ per mole of atoms
Formation energy (no corrections)   -260 meV/atom

(3)
A relaxed structure of BaCa2Eu, computed with PBE.

Cell lengths 4.473, 4.473, 9.463 Å; angles 90.00, 90.00, 90.00 degrees
Sites, in units of the cell vectors:
Ba: 0.000 0.000 0.000
Ca: 0.500 0.500 0.275
Ca: 0.500 0.500 0.725
Eu: 0.000 0.000 0.500

Results
E   -4.022 eV/atom
E_form   0.1 eV/f.u.
SG   P4/mmm, No. 123
E above lowest polymorph   0.0 kJ per mole of atoms